Compound: PmNdEr2Hg4
Source: the Alexandria database
Functional: GGA-PBE
Structure: relaxed Values from VASP.

Quantum ESPRESSO input file:
```
&SYSTEM
  ibrav = 0, nat = 8, ntyp = 4
/
ATOMIC_SPECIES
Pm 145.00 Pm.upf
Nd 144.24 Nd.upf
Er 167.26 Er.upf
Hg 200.59 Hg.upf
CELL_PARAMETERS angstrom
-0.821 2.393 -4.683
0.590 -2.737 -4.527
-8.457 -2.411 -2.774
ATOMIC_POSITIONS angstrom
Pm -4.344 -1.377 -5.992
Nd 0.000 0.000 0.000
Er -6.514 -2.065 -8.988
Er -2.174 -0.689 -2.996
Hg -7.475 -2.235 -5.881
Hg -3.388 -1.209 -9.098
Hg -5.300 -1.546 -2.885
Hg -1.213 -0.519 -6.102
```

Output
Final energy ... -2.947 eV/atom


Compound: PmNdErHg
Source: the Alexandria database
Functional: GGA-PBE
Structure: relaxed Values from VASP.

Quantum ESPRESSO input file:
```
&SYSTEM
  ibrav = 0, nat = 4, ntyp = 4
/
ATOMIC_SPECIES
Pm 145.00 Pm.upf
Nd 144.24 Nd.upf
Er 167.26 Er.upf
Hg 200.59 Hg.upf
CELL_PARAMETERS angstrom
3.680 0.000 0.000
0.000 3.680 0.000
0.000 0.000 8.909
ATOMIC_POSITIONS angstrom
Pm 1.840 1.840 7.053
Nd 0.000 0.000 0.704
Er 1.840 1.840 3.179
Hg 0.000 0.000 4.966
```

Output
Distance to the lowest polymorph of the same formula ... 0.00 kcal/mol of atoms
Final energy ... -3.827 eV/atom


Compound: PmNdErHg
Source: the Alexandria database
Functional: GGA-PBE
Structure: relaxed Values from VASP.

Quantum ESPRESSO input file:
```
&SYSTEM
  ibrav = 0, nat = 4, ntyp = 4
/
ATOMIC_SPECIES
Pm 145.00 Pm.upf
Nd 144.24 Nd.upf
Hg 200.59 Hg.upf
Er 167.26 Er.upf
CELL_PARAMETERS angstrom
5.485 0.000 0.000
2.743 4.751 0.000
2.743 1.584 4.479
ATOMIC_POSITIONS angstrom
Pm 8.228 4.751 3.359
Nd 5.485 3.167 2.239
Hg 2.743 1.584 1.120
Er 0.000 0.000 0.000
```

Output
Distance to the lowest polymorph of the same formula ... 4.65 kcal/mol of atoms
Final energy ... -3.626 eV/atom


Compound: PrNdEr2Hg4
Source: the Alexandria database
Functional: GGA-PBE
Structure: relaxed Values from VASP.

Quantum ESPRESSO input file:
```
&SYSTEM
  ibrav = 0, nat = 8, ntyp = 4
/
ATOMIC_SPECIES
Pr 140.91 Pr.upf
Nd 144.24 Nd.upf
Er 167.26 Er.upf
Hg 200.59 Hg.upf
CELL_PARAMETERS angstrom
5.344 0.000 0.000
2.672 4.628 0.000
2.672 1.543 8.723
ATOMIC_POSITIONS angstrom
Pr 5.344 3.085 4.362
Nd 0.000 0.000 0.000
Er 8.015 4.628 6.547
Er 2.672 1.543 2.176
Hg 5.344 3.085 7.648
Hg 8.015 4.628 3.259
Hg 2.672 1.543 5.464
Hg 5.344 3.085 1.075
```

Output
Final energy ... -2.946 eV/atom


Calculated spin magnetization (μB/f.u.), listed in the same order as above: 0.93, 0.00, 0.14, 1.02